Record 1
Below is an optimized crystal structure of Tb3HoTm6Sc2, with properties calculated at the PBE level.

Magnetization = 0.00 μB per cell
E_form = 0.038 eV/atom

Lattice parameters (Å, degrees): 6.0215 10.4193 11.4909 90.00 100.04 90.00
Space group C2/m (No. 12)
Inequivalent atoms, fractional coordinates:
1 Tb 0.0000 0.0000 0.0000 (multiplicity 2)
2 Tb 0.0000 0.3331 0.0000 (multiplicity 4)
3 Ho 0.0000 0.5000 0.5000 (multiplicity 2)
4 Tm 0.2459 0.0000 0.7441 (multiplicity 4)
5 Tm 0.2491 0.3323 0.7442 (multiplicity 8)
6 Sc 0.0000 0.1668 0.5000 (multiplicity 4)

Record 2
Below is an optimized crystal structure of Sr4NdTe5, with properties calculated at the PBE level.

Magnetization = 0.00 μB per cell
Raw formation energy = -1.659 eV per atom

Lattice parameters (Å, degrees): 4.6789 4.6789 33.2407 90.00 90.00 90.00
Space group I4/mmm (No. 139)
Inequivalent atoms, fractional coordinates:
1 Sr 0.0000 0.0000 0.0987 (multiplicity 4)
2 Sr 0.0000 0.0000 0.3008 (multiplicity 4)
3 Nd 0.0000 0.0000 0.5000 (multiplicity 2)
4 Te 0.0000 0.0000 0.0000 (multiplicity 2)
5 Te 0.0000 0.0000 0.1995 (multiplicity 4)
6 Te 0.0000 0.0000 0.4027 (multiplicity 4)

Record 3
Below is an optimized crystal structure of CsY2Pb2, with properties calculated at the PBE level.

Excess energy over the best structure of this formula in the dataset = 0 meV per atom
Magnetization = 0.73 μB per cell
E_form = -0.291 eV/atom

Lattice parameters (Å, degrees): 9.6747 9.6747 3.5451 90.00 90.00 90.00
Space group P4/mbm (No. 127)
Inequivalent atoms, fractional coordinates:
1 Cs 0.0000 0.0000 0.0000 (multiplicity 2)
2 Y 0.1312 0.3688 0.0000 (multiplicity 4)
3 Pb 0.1616 0.6616 0.5000 (multiplicity 4)

Record 4
Below is an optimized crystal structure of LuTi2Fe, with properties calculated at the PBE level.

Magnetization = 0.44 μB per cell
E_form = 0.016 eV/atom

Lattice parameters (Å, degrees): 3.0742 3.0742 7.5217 90.00 90.00 90.00
Space group P4/mmm (No. 123)
Inequivalent atoms, fractional coordinates:
1 Lu 0.0000 0.0000 0.0000 (multiplicity 1)
2 Ti 0.5000 0.5000 0.3149 (multiplicity 2)
3 Fe 0.0000 0.0000 0.5000 (multiplicity 1)

Record 5
Below is an optimized crystal structure of TaPSCl2, with properties calculated at the PBE level.

Excess energy over the best structure of this formula in the dataset = 76 meV per atom
Magnetization = 0.37 μB per cell
Raw formation energy = 0.149 eV per atom

Lattice parameters (Å, degrees): 4.6593 4.6593 5.1302 90.00 90.00 90.00
Space group P4/mmm (No. 123)
Inequivalent atoms, fractional coordinates:
1 Ta 0.0000 0.0000 0.0000 (multiplicity 1)
2 P 0.0000 0.0000 0.5000 (multiplicity 1)
3 S 0.5000 0.5000 0.5000 (multiplicity 1)
4 Cl 0.0000 0.5000 0.0000 (multiplicity 2)

Record 6
Below is an optimized crystal structure of ZrNb2AlAs, with properties calculated at the PBE level.

Magnetization = 0.00 μB per cell
E_form = 0.867 eV/atom

Lattice parameters (Å, degrees): 4.8335 4.8335 4.6108 90.00 90.00 90.00
Space group P4/mmm (No. 123)
Inequivalent atoms, fractional coordinates:
1 Zr 0.0000 0.0000 0.0000 (multiplicity 1)
2 Nb 0.0000 0.5000 0.5000 (multiplicity 2)
3 Al 0.5000 0.5000 0.5000 (multiplicity 1)
4 As 0.5000 0.5000 0.0000 (multiplicity 1)

Record 7
Below is an optimized crystal structure of Cr3BrN, with properties calculated at the PBE level.

Excess energy over the best structure of this formula in the dataset = 2069 meV per atom
Magnetization = 0.00 μB per cell
Raw formation energy = 2.504 eV per atom

Lattice parameters (Å, degrees): 4.3218 4.3218 4.3218 90.00 90.00 90.00
Space group Pm-3m (No. 221)
Inequivalent atoms, fractional coordinates:
1 Cr 0.0000 0.0000 0.5000 (multiplicity 3)
2 Br 0.0000 0.0000 0.0000 (multiplicity 1)
3 N 0.5000 0.5000 0.5000 (multiplicity 1)

Record 8
Below is an optimized crystal structure of LaDy2Ag, with properties calculated at the PBE level.

Excess energy over the best structure of this formula in the dataset = 0 meV per atom
Magnetization = 0.00 μB per cell
E_form = -0.126 eV/atom

Lattice parameters (Å, degrees): 3.6626 3.6626 8.7039 90.00 90.00 90.00
Space group P4/mmm (No. 123)
Inequivalent atoms, fractional coordinates:
1 La 0.0000 0.0000 0.0000 (multiplicity 1)
2 Dy 0.5000 0.5000 0.2957 (multiplicity 2)
3 Ag 0.0000 0.0000 0.5000 (multiplicity 1)